No. 1
K3SrOs after structural relaxation. Source: the Alexandria database, functional PBE.

a b c (Å): 6.369 6.369 6.369
angles (deg): 90.00 90.00 90.00
Sites, in units of the cell vectors:
K: 0.000 0.000 0.500
K: 0.000 0.500 0.000
K: 0.500 0.000 0.000
Sr: 0.500 0.500 0.500
Os: 0.000 0.000 0.000

Output
Calculated density   2.54 g cm⁻³
Polymorph energy (0 for the lowest one)   0 meV/atom
Energy of formation from the pure elements   112.67 kJ per mole of atoms
Symmetry   Pm-3m, No. 221
E_tot   -0.0762 hartree per atom
DOS(E_F)   4.137 states/eV/f.u.


No. 2
KSr2Os after structural relaxation. Source: the Alexandria database, functional PBE.

a b c (Å): 5.370 5.370 4.320
angles (deg): 90.00 90.00 90.00
Sites, in units of the cell vectors:
K: 0.000 0.000 0.000
Sr: 0.000 0.500 0.500
Sr: 0.500 0.000 0.500
Os: 0.500 0.500 0.000

Output
Calculated density   5.39 g cm⁻³
Polymorph energy (0 for the lowest one)   268 meV/atom
Energy of formation from the pure elements   89.95 kJ per mole of atoms
Symmetry   P4/mmm, No. 123
E_tot   -0.1099 hartree per atom
DOS(E_F)   3.593 states/eV/f.u.


No. 3
K2SrOs after structural relaxation. Source: the Alexandria database, functional PBE.

a b c (Å): 7.038 7.038 3.212
angles (deg): 90.00 90.00 126.94
Sites, in units of the cell vectors:
K: 0.000 0.500 0.000
K: 0.500 0.000 0.000
Sr: 0.000 0.000 0.500
Os: 0.500 0.500 0.500

Output
Calculated density   4.65 g cm⁻³
Polymorph energy (0 for the lowest one)   464 meV/atom
Energy of formation from the pure elements   127.46 kJ per mole of atoms
Symmetry   Cmmm, No. 65
E_tot   -0.0902 hartree per atom
DOS(E_F)   4.961 states/eV/f.u.


No. 4
K3SrOs after structural relaxation. Source: the Alexandria database, functional PBE.

a b c (Å): 7.706 7.706 7.706
angles (deg): 90.00 90.00 90.00
Sites, in units of the cell vectors:
K: 0.000 0.000 0.500
K: 0.000 0.500 0.000
K: 0.500 0.000 0.000
Sr: 0.000 0.000 0.000
Os: 0.500 0.500 0.500

Output
Calculated density   1.43 g cm⁻³
Polymorph energy (0 for the lowest one)   723 meV/atom
Energy of formation from the pure elements   182.39 kJ per mole of atoms
Symmetry   Pm-3m, No. 221
E_tot   -0.0496 hartree per atom
DOS(E_F)   20.648 states/eV/f.u.


No. 5
KSrOs2 after structural relaxation. Source: the Alexandria database, functional PBE.

a b c (Å): 2.852 5.218 7.278
angles (deg): 90.00 90.66 90.00
Sites, in units of the cell vectors:
K: 0.000 0.000 0.000
Sr: 0.000 0.000 0.500
Os: 0.493 0.500 0.343
Os: 0.507 0.500 0.657

Output
Calculated density   7.78 g cm⁻³
Polymorph energy (0 for the lowest one)   653 meV/atom
Energy of formation from the pure elements   103.20 kJ per mole of atoms
Symmetry   P2/m, No. 10
E_tot   -0.1926 hartree per atom
DOS(E_F)   3.938 states/eV/f.u.


No. 6
K2SrOs after structural relaxation. Source: the Alexandria database, functional PBE.

a b c (Å): 7.277 7.277 3.572
angles (deg): 103.14 103.14 127.10
Sites, in units of the cell vectors:
K: 0.000 0.500 0.000
K: 0.500 0.000 0.000
Sr: 0.000 0.000 0.500
Os: 0.500 0.500 0.500

Output
Calculated density   4.56 g cm⁻³
Polymorph energy (0 for the lowest one)   342 meV/atom
Energy of formation from the pure elements   115.72 kJ per mole of atoms
Symmetry   C2/m, No. 12
E_tot   -0.0947 hartree per atom
DOS(E_F)   3.729 states/eV/f.u.


No. 7
K2SrOs after structural relaxation. Source: the Alexandria database, functional PBE.

a b c (Å): 3.680 3.680 11.880
angles (deg): 90.00 90.00 90.00
Sites, in units of the cell vectors:
K: 0.000 0.000 0.000
K: 0.500 0.500 0.354
Sr: 0.500 0.500 0.675
Os: 0.000 0.000 0.536

Output
Calculated density   3.67 g cm⁻³
Polymorph energy (0 for the lowest one)   35 meV/atom
Energy of formation from the pure elements   86.06 kJ per mole of atoms
Symmetry   P4mm, No. 99
E_tot   -0.1060 hartree per atom
DOS(E_F)   4.706 states/eV/f.u.


No. 8
KSrOs2 after structural relaxation. Source: the Alexandria database, functional PBE.

a b c (Å): 2.805 2.805 10.744
angles (deg): 90.00 90.00 103.93
Sites, in units of the cell vectors:
K: 0.000 0.000 0.000
Sr: 0.000 0.000 0.500
Os: 0.500 0.500 0.263
Os: 0.500 0.500 0.737

Output
Calculated density   10.26 g cm⁻³
Polymorph energy (0 for the lowest one)   920 meV/atom
Energy of formation from the pure elements   128.93 kJ per mole of atoms
Symmetry   Cmmm, No. 65
E_tot   -0.1828 hartree per atom
DOS(E_F)   4.684 states/eV/f.u.